(1)
The following is a GGA-PBE calculation of an optimized crystal structure of La8GaSb5, from Alexandria.

a = 9.641 Å, b = 9.641 Å, c = 9.741 Å
α = 90.00°, β = 90.00°, γ = 90.00°
Space group I-4 (No. 82)
One atom of each set of equivalent atoms:
1 La 0.070 0.186 0.303 (multiplicity 8)
2 La 0.072 0.322 0.949 (multiplicity 8)
3 Ga 0.000 0.500 0.250 (multiplicity 2)
4 Sb 0.000 0.000 0.000 (multiplicity 2)
5 Sb 0.122 0.250 0.626 (multiplicity 8)

Computed properties:
Calculated total energy in eV per formula unit: -77.46
Total moment in μB/f.u.: 0.0

=====

(2)
The following is a GGA-PBE calculation of an optimized crystal structure of LaGa2Sb2, from Alexandria.

a = 8.201 Å, b = 8.201 Å, c = 3.944 Å
α = 90.00°, β = 90.00°, γ = 90.00°
Space group P4/mbm (No. 127)
One atom of each set of equivalent atoms:
1 La 0.000 0.000 0.000 (multiplicity 2)
2 Ga 0.161 0.339 0.500 (multiplicity 4)
3 Sb 0.129 0.629 0.000 (multiplicity 4)

Computed properties:
Calculated total energy in eV per formula unit: -20.57
Total moment in μB/f.u.: 0.0
Excess energy over the best structure of this formula in the dataset in eV per formula unit: 0.75

=====

(3)
The following is a GGA-PBE calculation of an optimized crystal structure of La3GaSb, from Alexandria.

a = 5.709 Å, b = 5.709 Å, c = 5.709 Å
α = 90.00°, β = 90.00°, γ = 90.00°
Space group Pm-3m (No. 221)
One atom of each set of equivalent atoms:
1 La 0.000 0.000 0.500 (multiplicity 3)
2 Ga 0.000 0.000 0.000 (multiplicity 1)
3 Sb 0.500 0.500 0.500 (multiplicity 1)

Computed properties:
Calculated total energy in eV per formula unit: -23.58
Total moment in μB/f.u.: 0.0
Excess energy over the best structure of this formula in the dataset in eV per formula unit: 2.12

=====

(4)
The following is a GGA-PBE calculation of an optimized crystal structure of LaGa2Sb2, from Alexandria.

a = 5.421 Å, b = 5.421 Å, c = 9.099 Å
α = 90.00°, β = 90.00°, γ = 90.00°
Space group I4/mmm (No. 139)
One atom of each set of equivalent atoms:
1 La 0.000 0.000 0.000 (multiplicity 2)
2 Ga 0.000 0.000 0.360 (multiplicity 4)
3 Sb 0.000 0.500 0.250 (multiplicity 4)

Computed properties:
Calculated total energy in eV per formula unit: -21.32
Total moment in μB/f.u.: 0.0
Excess energy over the best structure of this formula in the dataset in eV per formula unit: 0.00

=====

(5)
The following is a GGA-PBE calculation of an optimized crystal structure of LaGaSb2, from Alexandria.

a = 4.805 Å, b = 4.805 Å, c = 4.606 Å
α = 90.00°, β = 90.00°, γ = 90.00°
Space group P4/mmm (No. 123)
One atom of each set of equivalent atoms:
1 La 0.000 0.000 0.000 (multiplicity 1)
2 Ga 0.500 0.500 0.000 (multiplicity 1)
3 Sb 0.000 0.500 0.500 (multiplicity 2)

Computed properties:
Calculated total energy in eV per formula unit: -18.70
Total moment in μB/f.u.: 0.0

=====

(6)
The following is a GGA-PBE calculation of an optimized crystal structure of La2GaSnSb, from Alexandria.

a = 5.788 Å, b = 5.788 Å, c = 5.040 Å
α = 90.00°, β = 90.00°, γ = 90.00°
Space group P4/mmm (No. 123)
One atom of each set of equivalent atoms:
1 La 0.000 0.500 0.000 (multiplicity 2)
2 Ga 0.000 0.000 0.000 (multiplicity 1)
3 Sn 0.500 0.500 0.500 (multiplicity 1)
4 Sb 0.000 0.000 0.500 (multiplicity 1)

Computed properties:
Calculated total energy in eV per formula unit: -21.81
Total moment in μB/f.u.: 0.0

=====

(7)
The following is a GGA-PBE calculation of an optimized crystal structure of La5Ga4SnSb10, from Alexandria.

a = 4.453 Å, b = 11.779 Å, c = 22.169 Å
α = 100.84°, β = 90.00°, γ = 90.10°
Space group P1 (No. 1)
One atom of each set of equivalent atoms:
1 La 0.000 0.000 0.000 (multiplicity 1)
2 La 0.000 0.005 0.800 (multiplicity 1)
3 La 0.487 0.561 0.057 (multiplicity 1)
4 La 0.489 0.557 0.855 (multiplicity 1)
5 La 0.494 0.556 0.657 (multiplicity 1)
6 La 0.495 0.562 0.260 (multiplicity 1)
7 La 0.499 0.557 0.460 (multiplicity 1)
8 La 0.988 0.005 0.405 (multiplicity 1)
9 La 0.992 0.000 0.204 (multiplicity 1)
10 La 0.995 0.006 0.603 (multiplicity 1)
11 Ga 0.243 0.281 0.600 (multiplicity 1)
12 Ga 0.243 0.281 0.795 (multiplicity 1)
13 Ga 0.244 0.281 0.189 (multiplicity 1)
14 Ga 0.244 0.281 0.404 (multiplicity 1)
15 Ga 0.244 0.281 0.981 (multiplicity 1)
16 Ga 0.743 0.281 0.464 (multiplicity 1)
17 Ga 0.743 0.281 0.659 (multiplicity 1)
18 Ga 0.743 0.281 0.854 (multiplicity 1)
19 Sn 0.744 0.281 0.055 (multiplicity 1)
20 Sn 0.744 0.281 0.263 (multiplicity 1)
21 Sb 0.000 0.467 0.351 (multiplicity 1)
22 Sb 0.487 0.095 0.314 (multiplicity 1)
23 Sb 0.491 0.093 0.112 (multiplicity 1)
24 Sb 0.491 0.783 0.382 (multiplicity 1)
25 Sb 0.492 0.103 0.513 (multiplicity 1)
26 Sb 0.492 0.780 0.180 (multiplicity 1)
27 Sb 0.494 0.783 0.581 (multiplicity 1)
28 Sb 0.496 0.782 0.779 (multiplicity 1)
29 Sb 0.497 0.102 0.712 (multiplicity 1)
30 Sb 0.497 0.780 0.979 (multiplicity 1)
31 Sb 0.502 0.097 0.910 (multiplicity 1)
32 Sb 0.986 0.465 0.946 (multiplicity 1)
33 Sb 0.991 0.781 0.080 (multiplicity 1)
34 Sb 0.992 0.460 0.747 (multiplicity 1)
35 Sb 0.992 0.780 0.878 (multiplicity 1)
36 Sb 0.995 0.468 0.150 (multiplicity 1)
37 Sb 0.995 0.780 0.679 (multiplicity 1)
38 Sb 0.995 0.781 0.281 (multiplicity 1)
39 Sb 0.996 0.459 0.548 (multiplicity 1)
40 Sb 0.997 0.780 0.481 (multiplicity 1)

Computed properties:
Calculated total energy in eV per formula unit: -96.03
Total moment in μB/f.u.: 0.0

=====

(8)
The following is a GGA-PBE calculation of an optimized crystal structure of LaGaSb2Te, from Alexandria.

a = 6.085 Å, b = 6.085 Å, c = 6.129 Å
α = 90.00°, β = 90.00°, γ = 90.00°
Space group P4/mmm (No. 123)
One atom of each set of equivalent atoms:
1 La 0.000 0.000 0.000 (multiplicity 1)
2 Ga 0.500 0.500 0.500 (multiplicity 1)
3 Sb 0.000 0.500 0.000 (multiplicity 2)
4 Te 0.000 0.000 0.500 (multiplicity 1)

Computed properties:
Calculated total energy in eV per formula unit: -18.04
Total moment in μB/f.u.: 0.0
Excess energy over the best structure of this formula in the dataset in eV per formula unit: 2.15